(1)
VASP calculation (GGA-PBE) on an optimized crystal structure of Ca2Si2Cl.

## Properties
Raw formation energy (eV per atom): -0.800
V (Å³/f.u.): 130.2
M_tot (μB per atom): 0.00

```
data_Ca2Si2Cl
_chemical_formula_sum 'Ca4 Si4 Cl2'
_space_group_name_H-M_alt 'P 4/m b m'
_space_group_IT_number 127
_space_group_name_Hall '-P 4 2ab'
_cell_length_a 7.8348
_cell_length_b 7.8348
_cell_length_c 4.2412
_cell_angle_alpha 90.00
_cell_angle_beta 90.00
_cell_angle_gamma 90.00
loop_
_atom_site_label
_atom_site_type_symbol
_atom_site_fract_x
_atom_site_fract_y
_atom_site_fract_z
Ca1 Ca 0.1869 0.3131 0.0000
Si1 Si 0.0993 0.5993 0.5000
Cl1 Cl 0.0000 0.0000 0.0000
```

(2)
VASP calculation (GGA-PBE) on an optimized crystal structure of CaSi2Cl.

## Properties
Raw formation energy (eV per atom): 0.408
V (Å³/f.u.): 85.5
M_tot (μB per atom): 0.00

```
data_CaSi2Cl
_chemical_formula_sum 'Ca3 Si6 Cl3'
_space_group_name_H-M_alt 'R -3 m'
_space_group_IT_number 166
_space_group_name_Hall '-R 3 2"'
_cell_length_a 3.3433
_cell_length_b 3.3433
_cell_length_c 26.5002
_cell_angle_alpha 90.00
_cell_angle_beta 90.00
_cell_angle_gamma 120.00
loop_
_atom_site_label
_atom_site_type_symbol
_atom_site_fract_x
_atom_site_fract_y
_atom_site_fract_z
Ca1 Ca 0.0000 0.0000 0.0000
Si1 Si 0.0000 0.0000 0.2439
Cl1 Cl 0.0000 0.0000 0.5000
```

Q: Look up the V of the first one.
A: 130.2 Å³/f.u.